Record 1
## SmScZnHg (PBE)

Data for an optimized crystal structure of SmScZnHg.

Unit cell a=5.090 b=5.090 c=5.090 alpha=60.00 beta=60.00 gamma=60.00
Site moments in Bohr magnetons follow the coordinates.
Sites, in units of the cell vectors:
Zn: 0.000 0.000 0.000  0.01
Hg: 0.500 0.500 0.500  0.01
Sc: 0.250 0.250 0.250  0.23
Sm: 0.750 0.750 0.750  0.10

Summary:
Formation energy from the elements = -361 meV per atom
Crystal system = cubic

Record 2
## Ir4Os3 (PBE)

Data for an optimized crystal structure of Ir4Os3.

Unit cell a=2.736 b=6.641 c=7.030 alpha=122.81 beta=101.22 gamma=90.00
Sites, in units of the cell vectors:
Ir: 0.363 0.116 0.727
Os: 0.000 0.000 0.000
Os: 0.771 0.689 0.542
Os: 0.229 0.311 0.458
Ir: 0.080 0.456 0.160
Ir: 0.920 0.544 0.840
Ir: 0.637 0.884 0.273

Summary:
Formation energy from the elements = 258 meV per atom
Crystal system = monoclinic

Record 3
## Y2PaNbC4 (PBE)

Data for an optimized crystal structure of Y2PaNbC4.

Unit cell a=6.967 b=6.967 c=7.017 alpha=120.23 beta=120.23 gamma=90.08
Sites, in units of the cell vectors:
Nb: 0.500 0.500 0.500
Y: 0.500 0.500 0.000
Y: 0.500 0.000 0.000
Pa: 0.000 0.500 0.000
C: 0.245 0.255 0.477
C: 0.245 0.255 0.023
Pa: 0.000 0.500 0.500
C: 0.781 0.246 0.013
C: 0.755 0.745 0.977
C: 0.755 0.745 0.523
Y: 0.000 0.000 0.500
Y: 0.500 0.000 0.500
C: 0.746 0.281 0.513
C: 0.219 0.754 0.987
C: 0.254 0.719 0.487
Nb: 0.000 0.000 0.000

Summary:
Formation energy from the elements = -390 meV per atom
Crystal system = orthorhombic

Record 4
## Pa2MnNiN5 (PBE)

Data for an optimized crystal structure of Pa2MnNiN5.

Unit cell a=3.292 b=6.716 c=9.447 alpha=90.00 beta=90.00 gamma=104.18
Site moments in Bohr magnetons follow the coordinates.
Sites, in units of the cell vectors:
N: 0.053 0.106 0.059  -0.04
Mn: 0.196 0.392 0.010  0.40
N: 0.309 0.617 0.372  -0.02
Mn: 0.804 0.608 0.510  0.40
N: 0.691 0.383 0.872  -0.02
N: 0.495 0.991 0.773  -0.02
Pa: 0.114 0.228 0.683  0.00
N: 0.290 0.579 0.659  -0.01
N: 0.349 0.698 0.004  0.00
Ni: 0.440 0.880 0.455  -0.20
Pa: 0.886 0.772 0.183  0.00
N: 0.505 0.009 0.273  -0.02
Ni: 0.560 0.120 0.955  -0.20
N: 0.651 0.302 0.504  0.00
N: 0.710 0.421 0.159  -0.01
Pa: 0.862 0.725 0.807  -0.02
Pa: 0.138 0.275 0.307  -0.02
N: 0.947 0.894 0.559  -0.04

Summary:
Crystal system = orthorhombic
Energy relative to the elements, uncorrected = -819 meV/atom

Record 5
## PmNpGaSi (PBE)

Data for an optimized crystal structure of PmNpGaSi.

Unit cell a=5.042 b=5.042 c=5.042 alpha=60.00 beta=60.00 gamma=60.00
Site moments in Bohr magnetons follow the coordinates.
Sites, in units of the cell vectors:
Si: 0.750 0.750 0.750  -0.03
Np: 0.000 0.000 0.000  3.86
Pm: 0.500 0.500 0.500  0.14
Ga: 0.250 0.250 0.250  -0.01

Summary:
Crystal system = cubic
Energy relative to the elements, uncorrected = -178 meV/atom

Record 6
## SiTe2W (PBE)

Data for an optimized crystal structure of SiTe2W.

Unit cell a=4.574 b=4.574 c=6.163 alpha=80.91 beta=80.91 gamma=43.94
Sites, in units of the cell vectors:
Te: 0.480 0.480 0.527
Te: 0.020 0.020 0.973
W: 0.750 0.750 0.750
Si: 0.250 0.250 0.250

Summary:
Crystal system = monoclinic
Energy relative to the elements, uncorrected = 706 meV/atom

Record 7
## PrZr2Ni9 (PBE)

Data for an optimized crystal structure of PrZr2Ni9.

Unit cell a=4.941 b=4.941 c=8.479 alpha=73.06 beta=73.06 gamma=60.00
Sites, in units of the cell vectors:
Pr: 0.000 0.000 0.000
Ni: 0.918 0.412 0.258
Zr: 0.860 0.860 0.421
Ni: 0.588 0.588 0.742
Ni: 0.082 0.588 0.742
Ni: 0.500 0.500 0.500
Ni: 0.588 0.082 0.742
Zr: 0.140 0.140 0.579
Ni: 0.333 0.333 0.000
Ni: 0.412 0.412 0.258
Ni: 0.667 0.667 0.000
Ni: 0.412 0.918 0.258

Summary:
Formation energy from the elements = -383 meV per atom
Crystal system = trigonal

Record 8
## Cr3C4 (PBE)

Data for an optimized crystal structure of Cr3C4.

Unit cell a=4.430 b=4.430 c=4.430 alpha=90.00 beta=90.00 gamma=90.00
Site moments in Bohr magnetons follow the coordinates.
Sites, in units of the cell vectors:
Cr: 0.000 0.500 0.500  0.90
C: 0.727 0.727 0.727  -0.14
C: 0.273 0.727 0.273  -0.14
C: 0.727 0.273 0.273  -0.14
Cr: 0.500 0.000 0.500  0.90
Cr: 0.500 0.500 0.000  0.90
C: 0.273 0.273 0.727  -0.14

Summary:
Formation energy from the elements = 1020 meV per atom
Crystal system = cubic

Record 9
## La2Sm5HoEr (PBE)

Data for an optimized crystal structure of La2Sm5HoEr.

Unit cell a=5.699 b=10.511 c=10.791 alpha=90.00 beta=90.00 gamma=105.73
Sites, in units of the cell vectors:
Sm: 0.518 0.037 0.242
La: 0.113 0.227 0.734
Ho: 0.800 0.599 0.510
La: 0.887 0.773 0.234
La: 0.117 0.234 0.318
Er: 0.591 0.183 0.963
Sm: 0.016 0.032 0.021
Sm: 0.721 0.442 0.810
Ho: 0.200 0.401 0.010
Sm: 0.279 0.558 0.310
Sm: 0.386 0.771 0.022
Er: 0.409 0.817 0.463
Sm: 0.298 0.595 0.704
Sm: 0.702 0.405 0.204
Sm: 0.614 0.229 0.522
La: 0.883 0.766 0.818
Sm: 0.984 0.968 0.521
Sm: 0.482 0.963 0.742

Summary:
Formation energy from the elements = 130 meV per atom
Crystal system = orthorhombic

Record 10
## Er4SbRu (PBE)

Data for an optimized crystal structure of Er4SbRu.

Unit cell a=4.129 b=7.966 c=18.827 alpha=90.00 beta=90.00 gamma=90.00
Sites, in units of the cell vectors:
Er: 0.750 0.357 0.049
Er: 0.750 0.451 0.287
Ru: 0.250 0.248 0.946
Er: 0.750 0.868 0.643
Sb: 0.250 0.253 0.192
Er: 0.250 0.632 0.143
Er: 0.250 0.049 0.787
Ru: 0.250 0.748 0.554
Er: 0.250 0.002 0.066
Er: 0.250 0.549 0.713
Ru: 0.750 0.252 0.446
Er: 0.250 0.502 0.434
Sb: 0.750 0.747 0.808
Ru: 0.750 0.752 0.054
Sb: 0.750 0.247 0.692
Er: 0.250 0.132 0.357
Er: 0.250 0.643 0.951
Er: 0.750 0.998 0.934
Er: 0.750 0.951 0.213
Er: 0.750 0.857 0.451
Sb: 0.250 0.753 0.308
Er: 0.250 0.143 0.549
Er: 0.750 0.368 0.857
Er: 0.750 0.498 0.566

Summary:
Crystal system = orthorhombic
Energy relative to the elements, uncorrected = -602 meV/atom

Record 11
## KIn12Bi6 (PBE)

Data for an optimized crystal structure of KIn12Bi6.

Unit cell a=9.122 b=9.122 c=9.122 alpha=106.57 beta=106.57 gamma=106.57
Sites, in units of the cell vectors:
Bi: 0.279 0.730 0.279
In: 0.393 0.162 0.393
In: 0.607 0.607 0.838
In: 0.393 0.393 0.162
In: 0.889 0.500 0.111
Bi: 0.279 0.279 0.730
Bi: 0.721 0.721 0.270
In: 0.111 0.889 0.500
In: 0.500 0.111 0.889
In: 0.607 0.838 0.607
In: 0.838 0.607 0.607
In: 0.500 0.889 0.111
In: 0.111 0.500 0.889
Bi: 0.270 0.721 0.721
In: 0.162 0.393 0.393
In: 0.889 0.111 0.500
Bi: 0.721 0.270 0.721
Bi: 0.730 0.279 0.279
K: 0.000 0.000 0.000

Summary:
Formation energy from the elements = 35 meV per atom
Crystal system = trigonal

Record 12
## BaSr3Sb (PBE)

Data for an optimized crystal structure of BaSr3Sb.

Unit cell a=6.196 b=6.196 c=6.196 alpha=90.00 beta=90.00 gamma=90.00
Site moments in Bohr magnetons follow the coordinates.
Sites, in units of the cell vectors:
Sr: 0.000 0.000 0.500  0.17
Sr: 0.000 0.500 0.000  0.09
Ba: 0.000 0.000 0.000  0.44
Sb: 0.500 0.500 0.500  -0.02
Sr: 0.500 0.000 0.000  0.07

Summary:
Crystal system = cubic
Energy relative to the elements, uncorrected = 798 meV/atom

Record 13
## SmSiCl (PBE)

Data for an optimized crystal structure of SmSiCl.

Unit cell a=4.067 b=4.067 c=11.119 alpha=79.46 beta=79.46 gamma=60.00
Sites, in units of the cell vectors:
Si: 0.836 0.836 0.491
Cl: 0.722 0.722 0.835
Sm: 0.440 0.440 0.681
Si: 0.164 0.164 0.509
Sm: 0.560 0.560 0.319
Cl: 0.278 0.278 0.165

Summary:
Crystal system = trigonal
Energy relative to the elements, uncorrected = -1394 meV/atom

Record 14
## KRb2I (PBE)

Data for an optimized crystal structure of KRb2I.

Unit cell a=4.960 b=4.960 c=13.803 alpha=79.65 beta=79.65 gamma=60.00
Sites, in units of the cell vectors:
K: 0.000 0.000 0.000
I: 0.500 0.500 0.500
Rb: 0.891 0.891 0.326
Rb: 0.109 0.109 0.674

Summary:
Crystal system = trigonal
Energy relative to the elements, uncorrected = -665 meV/atom

Record 15
## Tb2PrSbN4 (PBE)

Data for an optimized crystal structure of Tb2PrSbN4.

Unit cell a=3.643 b=6.240 c=12.045 alpha=90.00 beta=90.00 gamma=106.97
Sites, in units of the cell vectors:
Tb: 0.372 0.743 0.964
Pr: 0.886 0.771 0.250
N: 0.730 0.460 0.624
Pr: 0.114 0.229 0.750
N: 0.270 0.540 0.376
N: 0.000 0.000 0.000
Tb: 0.628 0.257 0.464
N: 0.448 0.896 0.750
N: 0.000 0.000 0.500
N: 0.270 0.540 0.124
Sb: 0.851 0.702 0.750
N: 0.552 0.104 0.250
N: 0.730 0.460 0.876
Tb: 0.372 0.743 0.536
Sb: 0.149 0.298 0.250
Tb: 0.628 0.257 0.036

Summary:
Crystal system = orthorhombic
Energy relative to the elements, uncorrected = -712 meV/atom

Record 16
## PmGe2Pd7 (PBE)

Data for an optimized crystal structure of PmGe2Pd7.

Unit cell a=4.118 b=4.118 c=10.699 alpha=101.10 beta=101.10 gamma=90.00
Sites, in units of the cell vectors:
Pd: 0.606 0.106 0.212
Pd: 0.106 0.606 0.212
Pd: 0.750 0.250 0.500
Pd: 0.500 0.500 0.000
Pd: 0.250 0.750 0.500
Pm: 0.000 0.000 0.000
Pd: 0.894 0.394 0.788
Ge: 0.325 0.325 0.649
Pd: 0.394 0.894 0.788
Ge: 0.675 0.675 0.351

Summary:
Formation energy from the elements = -609 meV per atom
Crystal system = tetragonal

Record 17
## LaTbNiOs (PBE)

Data for an optimized crystal structure of LaTbNiOs.

Unit cell a=4.932 b=4.932 c=4.932 alpha=60.00 beta=60.00 gamma=60.00
Sites, in units of the cell vectors:
Ni: 0.750 0.750 0.750
Tb: 0.500 0.500 0.500
Os: 0.250 0.250 0.250
La: 0.000 0.000 0.000

Summary:
Formation energy from the elements = -149 meV per atom
Crystal system = cubic

Record 18
## MnIn5Se8 (PBE)

Data for an optimized crystal structure of MnIn5Se8.

Unit cell a=8.134 b=8.134 c=8.134 alpha=60.00 beta=60.00 gamma=60.00
Site moments in Bohr magnetons follow the coordinates.
Sites, in units of the cell vectors:
In: 0.622 0.135 0.622  -0.01
Se: 0.866 0.866 0.866  0.00
Se: 0.379 0.379 0.864  0.01
Mn: 0.250 0.250 0.250  4.10
Se: 0.866 0.403 0.866  0.00
In: 0.622 0.622 0.135  -0.01
Se: 0.864 0.379 0.379  0.01
Se: 0.379 0.864 0.379  0.01
Se: 0.403 0.866 0.866  0.00
In: 0.622 0.622 0.622  -0.01
In: 0.135 0.622 0.622  -0.01
Se: 0.379 0.379 0.379  0.01
Se: 0.866 0.866 0.403  0.00
In: 0.000 0.000 0.000  -0.01

Summary:
Crystal system = cubic
Energy relative to the elements, uncorrected = -479 meV/atom

Record 19
## EuGaBi (PBE)

Data for an optimized crystal structure of EuGaBi.

Unit cell a=5.119 b=5.119 c=5.119 alpha=60.00 beta=60.00 gamma=60.00
Site moments in Bohr magnetons follow the coordinates.
Sites, in units of the cell vectors:
Ga: 0.250 0.250 0.250  0.03
Eu: 0.500 0.500 0.500  6.88
Bi: 0.000 0.000 0.000  -0.07

Summary:
Formation energy from the elements = -401 meV per atom
Crystal system = cubic

Record 20
## CoPRh (PBE)

Data for an optimized crystal structure of CoPRh.

Unit cell a=3.686 b=3.686 c=3.242 alpha=90.00 beta=90.00 gamma=120.00
Site moments in Bohr magnetons follow the coordinates.
Sites, in units of the cell vectors:
Co: 0.000 0.000 0.117  0.53
Rh: 0.333 0.667 0.615  0.15
P: 0.667 0.333 0.268  -0.02

Summary:
Formation energy from the elements = -310 meV per atom
Crystal system = trigonal

Number 1: D(E_F) 1.004 states/eV/atom, total magnetic moment 0.57 μB per cell. Number 2: D(E_F) 1.143 states/eV/atom, total magnetic moment 0.00 μB per cell. Number 3: D(E_F) 0.125 states/eV/atom, total magnetic moment 0.00 μB per cell. Number 4: D(E_F) 0.384 states/eV/atom, total magnetic moment 0.11 μB per cell. Number 5: D(E_F) 1.295 states/eV/atom, total magnetic moment 4.28 μB per cell. Number 6: D(E_F) 0.659 states/eV/atom, total magnetic moment 0.00 μB per cell. Number 7: D(E_F) 1.087 states/eV/atom, total magnetic moment 0.00 μB per cell. Number 8: D(E_F) 0.685 states/eV/atom, total magnetic moment 2.08 μB per cell. Number 9: D(E_F) 1.415 states/eV/atom, total magnetic moment 0.00 μB per cell. Number 10: D(E_F) 1.016 states/eV/atom, total magnetic moment 0.02 μB per cell. Number 11: D(E_F) 0.510 states/eV/atom, total magnetic moment 0.00 μB per cell. Number 12: D(E_F) 1.349 states/eV/atom, total magnetic moment 1.92 μB per cell. Number 13: D(E_F) 0.123 states/eV/atom, total magnetic moment 0.00 μB per cell. Number 14: D(E_F) 0.508 states/eV/atom, total magnetic moment 0.00 μB per cell. Number 15: D(E_F) 0.483 states/eV/atom, total magnetic moment 0.00 μB per cell. Number 16: D(E_F) 0.426 states/eV/atom, total magnetic moment 0.00 μB per cell. Number 17: D(E_F) 0.878 states/eV/atom, total magnetic moment 0.00 μB per cell. Number 18: D(E_F) 0.297 states/eV/atom, total magnetic moment 4.51 μB per cell. Number 19: D(E_F) 1.354 states/eV/atom, total magnetic moment 7.08 μB per cell. Number 20: D(E_F) 1.140 states/eV/atom, total magnetic moment 0.66 μB per cell.